{
  "formula": "AlNiMoIr",
  "functional": "PBE-GGA",
  "state": "relaxed",
  "cell": [[0.0000, 3.0316, 3.0316], [3.0316, 0.0000, 3.0316], [3.0316, 3.0316, 0.0000]],
  "species": ["Al", "Ni", "Mo", "Ir"],
  "frac_coords": [[0.0000, 0.0000, 0.0000], [0.2500, 0.2500, 0.2500], [0.7500, 0.7500, 0.7500], [0.5000, 0.5000, 0.5000]],
  "total_energy_ry_per_atom": -0.55135,
  "density_g_cm3": 11.14
}